DFT (PBE) results for a geometry-optimized La3Tb3Nd2 structure.

abc: 11.030 11.030 11.030
angles: 153.09 152.78 38.66
Atoms (fractional coordinates):
La1 0.000 0.000 0.000
La2 0.377 0.877 0.500
La3 0.623 0.123 0.500
Tb1 0.126 0.626 0.500
Tb2 0.500 0.500 0.000
Tb3 0.874 0.374 0.500
Nd1 0.249 0.249 0.000
Nd2 0.751 0.751 0.000

## Properties
Space-group type: Immm, No. 71

***

DFT (PBE) results for a geometry-optimized La2Tb2Nd3 structure.

abc: 9.164 9.164 8.747
angles: 118.34 118.34 22.52
Atoms (fractional coordinates):
La1 0.064 0.064 0.412
La2 0.936 0.936 0.588
Tb1 0.350 0.350 0.162
Tb2 0.650 0.650 0.838
Nd1 0.287 0.287 0.704
Nd2 0.500 0.500 0.000
Nd3 0.713 0.713 0.296

## Properties
Space-group type: C2/m, No. 12
Energy above the most stable polymorph in this dataset: 98 meV per atom

***

Number 1: energy relative to the elements 0.0224 eV per atom, magnetic moment 0.00 μB per cell. Number 2: energy relative to the elements 0.1140 eV per atom, magnetic moment 0.00 μB per cell.